# Na3Dy2MoO6

An optimized crystal structure of Na3Dy2MoO6 (GGA+U, Alexandria via LeMat-Bulk).

## Properties
* DFT total energy: -6.5933 eV/atom
* SG: C2/m

a b c (Å): 5.812 5.812 5.893
angles (deg): 99.37 99.37 120.02
Fractional coordinates of all 12 atoms:
O 0.745 0.745 0.211
O 0.605 0.930 0.787
O 0.070 0.395 0.213
O 0.255 0.255 0.789
O 0.395 0.070 0.213
O 0.930 0.605 0.787
Na 0.500 0.500 0.500
Na 0.160 0.840 0.500
Na 0.840 0.160 0.500
Dy 0.333 0.667 0.000
Dy 0.667 0.333 0.000
Mo 0.000 0.000 0.000